Record 1
Density functional theory data (GGA-PBE) for a geometry-optimized CuHgC3 structure.

Calculated values
- SG: Pm-3m
- V: 62.6 Å³/cell
- Total energy: -3.6550 eV per atom
- Distance to the lowest polymorph of the same formula: 0.000 eV per atom
- Crystal system: cubic

Cell: 3.9707 3.9707 3.9707 Å, 90.00 90.00 90.00°
Closest atoms and distances in Å follow each position.
Atoms (fractional coordinates):
Cu (0.0000, 0.0000, 0.0000)  6 C 1.99
Hg (0.5000, 0.5000, 0.5000)  12 C 2.81
C (0.0000, 0.0000, 0.5000)  2 Cu 1.99
C (0.0000, 0.5000, 0.0000)  2 Cu 1.99
C (0.5000, 0.0000, 0.0000)  2 Cu 1.99



Record 2
Density functional theory data (GGA-PBE) for a geometry-optimized CuHg3C structure.

Calculated values
- SG: Pm-3m
- V: 132.5 Å³/cell
- Total energy: -1.3637 eV per atom
- Distance to the lowest polymorph of the same formula: 0.289 eV per atom
- Crystal system: cubic

Cell: 5.0979 5.0979 5.0979 Å, 90.00 90.00 90.00°
Closest atoms and distances in Å follow each position.
Atoms (fractional coordinates):
Cu (0.0000, 0.0000, 0.0000)  6 Hg 2.55
Hg (0.0000, 0.0000, 0.5000)  2 Cu 2.55
Hg (0.0000, 0.5000, 0.0000)  2 Cu 2.55
Hg (0.5000, 0.0000, 0.0000)  2 Cu 2.55
C (0.5000, 0.5000, 0.5000)  12 Hg 3.60